1.
The following is a PBEsol calculation of a relaxed structure of YIr2Se, from Alexandria.

```
YIr2Se
1.0
-2.3209 2.3209 8.0809
2.3209 -2.3209 8.0809
2.3209 2.3209 -8.0809
Y Ir Se
2 4 2
Cartesian
0.0000 0.0000 0.0000
0.0000 2.3209 4.0405
1.1604 -0.4992 6.0607
1.8217 1.1604 2.0202
1.1604 2.8200 -2.0202
0.4992 1.1604 10.1012
2.3209 0.0000 4.0405
0.0000 0.0000 8.0809
```

Computed properties:
For the density of states at the Fermi level, the calculation gives 5.46 states/eV/cell. The volume is 21.76 Å³/atom. As for the formation energy from raw total energies: -50 kJ/mol of formula units. Its total moment is 0.00 μB per cell.

=====

2.
The following is a PBEsol calculation of a relaxed structure of YIr2Se, from Alexandria.

```
YIr2Se
1.0
2.7738 -4.8305 0.0000
2.7738 4.8305 0.0000
-1.6376 0.0000 2.5695
Y Ir Se
1 2 1
Cartesian
0.0000 0.0000 0.0000
0.5681 2.4152 1.2848
0.5681 -2.4152 1.2848
2.7738 0.0000 0.0000
```

Computed properties:
For the density of states at the Fermi level, the calculation gives 2.47 states/eV/cell. The volume is 17.21 Å³/atom. As for the formation energy from raw total energies: -84 kJ/mol of formula units. Its total moment is 0.00 μB per cell.

=====

3.
The following is a PBEsol calculation of a relaxed structure of ZnIr2Se, from Alexandria.

```
ZnIr2Se
1.0
3.0074 0.0000 0.0000
0.0000 3.0074 0.0000
0.0000 0.0000 6.3720
Zn Ir Se
1 2 1
Cartesian
0.0000 0.0000 0.0000
1.5037 1.5037 1.5464
1.5037 1.5037 4.8255
0.0000 0.0000 3.1860
```

Computed properties:
The calculation puts the polymorph energy (0 for the lowest one) at 0.00 eV/f.u. For the density of states at the Fermi level, the calculation gives 2.26 states/eV/cell. The volume is 14.41 Å³/atom. As for the formation energy from raw total energies: 70 kJ/mol of formula units. Its total moment is 0.00 μB per cell.

=====

4.
The following is a PBEsol calculation of a relaxed structure of ZnIrSe2, from Alexandria.

```
ZnIrSe2
1.0
4.6565 0.0000 0.0000
0.0000 4.6565 0.0000
0.0000 0.0000 2.9595
Zn Ir Se
1 1 2
Cartesian
0.0000 0.0000 0.0000
2.3283 2.3283 0.0000
0.0000 2.3283 1.4798
2.3283 0.0000 1.4798
```

Computed properties:
For the density of states at the Fermi level, the calculation gives 1.76 states/eV/cell. The volume is 16.04 Å³/atom. As for the formation energy from raw total energies: 108 kJ/mol of formula units. Its total moment is 0.00 μB per cell.

=====

5.
The following is a PBEsol calculation of a relaxed structure of ZnIr2Se, from Alexandria.

```
ZnIr2Se
1.0
2.8051 0.0000 0.0000
0.0000 4.4408 0.0000
0.0000 0.0000 4.7881
Zn Ir Se
1 2 1
Cartesian
0.0000 0.0000 0.0000
0.0000 2.2204 2.3940
1.4025 2.2204 0.0000
1.4025 0.0000 2.3940
```

Computed properties:
The calculation puts the polymorph energy (0 for the lowest one) at 0.46 eV/f.u. For the density of states at the Fermi level, the calculation gives 3.97 states/eV/cell. The volume is 14.91 Å³/atom. As for the formation energy from raw total energies: 115 kJ/mol of formula units. Its total moment is 0.00 μB per cell.

=====

6.
The following is a PBEsol calculation of a relaxed structure of ZnIrSe2, from Alexandria.

```
ZnIrSe2
1.0
1.8623 1.0752 6.0550
-1.8623 1.0752 6.0550
0.0000 -2.1504 6.0550
Zn Ir Se
1 1 2
Cartesian
0.0000 0.0000 0.0000
0.0000 0.0000 9.0825
0.0000 0.0000 4.3289
0.0000 0.0000 13.8360
```

Computed properties:
For the density of states at the Fermi level, the calculation gives 1.37 states/eV/cell. The volume is 18.19 Å³/atom. As for the formation energy from raw total energies: -45 kJ/mol of formula units. Its total moment is 0.00 μB per cell.

=====

7.
The following is a PBEsol calculation of a relaxed structure of ZnIrSe2, from Alexandria.

```
ZnIrSe2
1.0
-2.5385 2.5385 2.7054
2.5385 -2.5385 2.7054
2.5385 2.5385 -2.7054
Zn Ir Se
1 1 2
Cartesian
0.0000 0.0000 0.0000
0.0000 0.0000 2.7054
2.5385 0.0000 0.0000
0.0000 2.5385 0.0000
```

Computed properties:
For the density of states at the Fermi level, the calculation gives 2.16 states/eV/cell. The volume is 17.43 Å³/atom. As for the formation energy from raw total energies: 76 kJ/mol of formula units. Its total moment is 0.00 μB per cell.

=====

8.
The following is a PBEsol calculation of a relaxed structure of ZnIr2Se, from Alexandria.

```
ZnIr2Se
1.0
4.8829 -1.4478 0.0000
4.8829 1.4478 0.0000
-1.8623 0.0000 4.1597
Zn Ir Se
1 2 1
Cartesian
0.0000 0.0000 0.0000
3.7636 0.0000 2.0687
7.1414 0.0000 0.2992
1.1151 0.0000 2.4496
```

Computed properties:
The calculation puts the polymorph energy (0 for the lowest one) at 0.01 eV/f.u. For the density of states at the Fermi level, the calculation gives 2.43 states/eV/cell. The volume is 14.70 Å³/atom. As for the formation energy from raw total energies: 72 kJ/mol of formula units. Its total moment is 0.00 μB per cell.

=====

9.
The following is a PBEsol calculation of a relaxed structure of Zr2IrSe, from Alexandria.

```
Zr2IrSe
1.0
1.7080 0.9861 8.2591
-1.7080 0.9861 8.2591
0.0000 -1.9723 8.2591
Zr Ir Se
2 1 1
Cartesian
0.0000 0.0000 0.0000
0.0000 0.0000 5.5894
0.0000 0.0000 18.1320
0.0000 0.0000 12.0656
```

Computed properties:
For the density of states at the Fermi level, the calculation gives 5.19 states/eV/cell. The volume is 20.87 Å³/atom. As for the formation energy from raw total energies: -103 kJ/mol of formula units. Its total moment is 0.01 μB per cell.

=====

10.
The following is a PBEsol calculation of a relaxed structure of ZrIrSe2, from Alexandria.

```
ZrIrSe2
1.0
4.4089 0.0000 0.0000
0.0000 4.4089 0.0000
0.0000 0.0000 3.4065
Zr Ir Se
1 1 2
Cartesian
0.0000 0.0000 0.0000
2.2044 2.2044 0.0000
0.0000 2.2044 1.7033
2.2044 0.0000 1.7033
```

Computed properties:
The calculation puts the polymorph energy (0 for the lowest one) at 0.00 eV/f.u. For the density of states at the Fermi level, the calculation gives 1.78 states/eV/cell. The volume is 16.55 Å³/atom. As for the formation energy from raw total energies: -220 kJ/mol of formula units. Its total moment is 0.00 μB per cell.

=====

11.
The following is a PBEsol calculation of a relaxed structure of ZrIrSe2, from Alexandria.

```
ZrIrSe2
1.0
0.0000 3.2904 3.2904
3.2904 0.0000 3.2904
3.2904 3.2904 0.0000
Zr Ir Se
1 1 2
Cartesian
0.0000 0.0000 0.0000
4.9355 4.9355 4.9355
1.6452 1.6452 1.6452
3.2904 3.2904 3.2904
```

Computed properties:
The calculation puts the polymorph energy (0 for the lowest one) at 1.87 eV/f.u. For the density of states at the Fermi level, the calculation gives 4.68 states/eV/cell. The volume is 17.81 Å³/atom. As for the formation energy from raw total energies: -40 kJ/mol of formula units. Its total moment is 0.00 μB per cell.

=====

12.
The following is a PBEsol calculation of a relaxed structure of ZrIr4Se, from Alexandria.

```
ZrIr4Se
1.0
0.0000 3.6700 3.6700
3.6700 0.0000 3.6700
3.6700 3.6700 0.0000
Zr Ir Se
1 4 1
Cartesian
0.0000 0.0000 0.0000
4.5883 2.7517 2.7517
2.7517 4.5883 2.7517
2.7517 2.7517 4.5883
4.5883 4.5883 4.5883
1.8350 1.8350 1.8350
```

Computed properties:
For the density of states at the Fermi level, the calculation gives 7.78 states/eV/cell. The volume is 16.48 Å³/atom. As for the formation energy from raw total energies: 25 kJ/mol of formula units. Its total moment is 0.00 μB per cell.